(1)
Compound: CaNd2AgO5
Source: the Alexandria database
Functional: PBE
Structure: relaxed

Summary:
formation energy without anion corrections = -2.301 eV/atom
M_tot = 1.0 μB/f.u.
E = -6.654 eV per atom
mass density = 6.27 g cm⁻³

Cell and atoms, written as CIF:
```
data_CaNd2AgO5
_chemical_formula_sum 'Ca2 Nd4 Ag2 O10'
_space_group_name_H-M_alt 'P 4/m b m'
_space_group_IT_number 127
_space_group_name_Hall '-P 4 2ab'
_cell_length_a 6.716
_cell_length_b 6.716
_cell_length_c 6.063
_cell_angle_alpha 90.00
_cell_angle_beta 90.00
_cell_angle_gamma 90.00
loop_
_atom_site_label
_atom_site_fract_x
_atom_site_fract_y
_atom_site_fract_z
Ca1 0.000 0.000 0.000
Nd1 0.171 0.329 0.500
Ag1 0.000 0.500 0.000
O1 0.000 0.000 0.500
O2 0.153 0.653 0.249
```

(2)
Compound: Ca2NdAg2Pb2
Source: the Alexandria database
Functional: PBE
Structure: relaxed

Summary:
M_tot = 0.0 μB/f.u.
ΔE_f = -0.324 eV per atom
E = -3.451 eV per atom
mass density = 7.45 g cm⁻³

Cell and atoms, written as CIF:
```
data_Ca2NdAg2Pb2
_chemical_formula_sum 'Ca6 Nd3 Ag6 Pb6'
_space_group_name_H-M_alt 'R -3 m'
_space_group_IT_number 166
_space_group_name_Hall '-R 3 2"'
_cell_length_a 4.9517
_cell_length_b 4.9517
_cell_length_c 26.9111
_cell_angle_alpha 90.00
_cell_angle_beta 90.00
_cell_angle_gamma 120.00
loop_
_atom_site_label
_atom_site_fract_x
_atom_site_fract_y
_atom_site_fract_z
Ca1 0.0000 0.0000 0.1355
Nd1 0.0000 0.0000 0.0000
Ag1 0.0000 0.0000 0.4330
Pb1 0.0000 0.0000 0.2666
```

(3)
Compound: CaNd2Ag2Pb2
Source: the Alexandria database
Functional: PBE
Structure: relaxed

Summary:
M_tot = 0.0 μB/f.u.
ΔE_f = -0.301 eV per atom
E = -3.823 eV per atom
mass density = 8.03 g cm⁻³

Cell and atoms, written as CIF:
```
data_CaNd2Ag2Pb2
_chemical_formula_sum 'Ca3 Nd6 Ag6 Pb6'
_space_group_name_H-M_alt 'R -3 m'
_space_group_IT_number 166
_space_group_name_Hall '-R 3 2"'
_cell_length_a 5.0050
_cell_length_b 5.0050
_cell_length_c 27.4041
_cell_angle_alpha 90.00
_cell_angle_beta 90.00
_cell_angle_gamma 120.00
loop_
_atom_site_label
_atom_site_fract_x
_atom_site_fract_y
_atom_site_fract_z
Ca1 0.0000 0.0000 0.0000
Nd1 0.0000 0.0000 0.1372
Ag1 0.0000 0.0000 0.4399
Pb1 0.0000 0.0000 0.2651
```

(4)
Compound: CaNdAgPd
Source: the Alexandria database
Functional: PBE
Structure: relaxed

Summary:
M_tot = 0.0 μB/f.u.
ΔE_f = -0.502 eV per atom
E = -4.205 eV per atom
mass density = 6.80 g cm⁻³

Cell and atoms, written as CIF:
```
data_CaNdAgPd
_chemical_formula_sum 'Ca4 Nd4 Ag4 Pd4'
_space_group_name_H-M_alt 'F -4 3 m'
_space_group_IT_number 216
_space_group_name_Hall 'F -4 2 3'
_cell_length_a 7.301
_cell_length_b 7.301
_cell_length_c 7.301
_cell_angle_alpha 90.00
_cell_angle_beta 90.00
_cell_angle_gamma 90.00
loop_
_atom_site_label
_atom_site_fract_x
_atom_site_fract_y
_atom_site_fract_z
Ca1 0.000 0.000 0.000
Nd1 0.000 0.000 0.500
Ag1 0.250 0.250 0.750
Pd1 0.250 0.250 0.250
```

(5)
Compound: CaNdAgPt
Source: the Alexandria database
Functional: PBE
Structure: relaxed

Summary:
M_tot = 0.0 μB/f.u.
ΔE_f = -0.654 eV per atom
energy above the lowest structure with this stoichiometry = 0.12 eV/f.u.
E = -4.569 eV per atom
mass density = 8.49 g cm⁻³

Cell and atoms, written as CIF:
```
data_CaNdAgPt
_chemical_formula_sum 'Ca4 Nd4 Ag4 Pt4'
_space_group_name_H-M_alt 'F -4 3 m'
_space_group_IT_number 216
_space_group_name_Hall 'F -4 2 3'
_cell_length_a 7.251
_cell_length_b 7.251
_cell_length_c 7.251
_cell_angle_alpha 90.00
_cell_angle_beta 90.00
_cell_angle_gamma 90.00
loop_
_atom_site_label
_atom_site_fract_x
_atom_site_fract_y
_atom_site_fract_z
Ca1 0.000 0.000 0.000
Nd1 0.000 0.000 0.500
Ag1 0.250 0.250 0.750
Pt1 0.250 0.250 0.250
```

(6)
Compound: CaNdAgPt
Source: the Alexandria database
Functional: PBE
Structure: relaxed

Summary:
M_tot = 0.0 μB/f.u.
ΔE_f = -0.683 eV per atom
energy above the lowest structure with this stoichiometry = 0.00 eV/f.u.
E = -4.598 eV per atom
mass density = 7.99 g cm⁻³

Cell and atoms, written as CIF:
```
data_CaNdAgPt
_chemical_formula_sum 'Ca2 Nd2 Ag2 Pt2'
_space_group_name_H-M_alt 'A m m 2'
_space_group_IT_number 38
_space_group_name_Hall 'A 2 -2'
_cell_length_a 4.440
_cell_length_b 4.009
_cell_length_c 11.381
_cell_angle_alpha 90.00
_cell_angle_beta 90.00
_cell_angle_gamma 90.00
loop_
_atom_site_label
_atom_site_fract_x
_atom_site_fract_y
_atom_site_fract_z
Ca1 0.000 0.000 0.000
Nd1 0.500 0.000 0.721
Ag1 0.500 0.000 0.436
Pt1 0.000 0.000 0.270
```